# 1
A geometry-optimized Pm2AgIrAu structure. Source: Alexandria, functional GGA-PBE.

Results
The volume is 241 Å³/cell. The value obtained for the total moment is 0.00 μB per cell. As for the calculated total energy: -0.3993 Ry/atom. The value obtained for the formation energy is -535 meV/atom.

```
data_Pm2AgIrAu
_chemical_formula_sum 'Pm4 Ag2 Ir2 Au2'
_cell_length_a 4.1863
_cell_length_b 4.1863
_cell_length_c 13.7498
_cell_angle_alpha 90.00
_cell_angle_beta 90.00
_cell_angle_gamma 90.00
_space_group_name_H-M_alt 'P 4/n m m'
_space_group_IT_number 129
loop_
_space_group_symop_operation_xyz
'x,y,z'
'-x,-y,-z'
'-y+1/2,x,z'
'y+1/2,-x,-z'
'-x+1/2,-y+1/2,z'
'x+1/2,y+1/2,-z'
'y,-x+1/2,z'
'-y,x+1/2,-z'
'x+1/2,-y,-z'
'-x+1/2,y,z'
'-y,-x,-z'
'y,x,z'
'-x,y+1/2,-z'
'x,-y+1/2,z'
'y+1/2,x+1/2,-z'
'-y+1/2,-x+1/2,z'
loop_
_atom_site_label
_atom_site_type_symbol
_atom_site_fract_x
_atom_site_fract_y
_atom_site_fract_z
_atom_site_occupancy
Pm1 Pm 0.2500 0.2500 0.1090 1
Pm2 Pm 0.2500 0.2500 0.6997 1
Ag1 Ag 0.2500 0.7500 0.5000 1
Ir1 Ir 0.2500 0.2500 0.8962 1
Au1 Au 0.2500 0.2500 0.3515 1
```

---

# 2
A geometry-optimized Si2AgIrAu structure. Source: Alexandria, functional GGA-PBE.

Results
The value obtained for the uncorrected formation energy is 1.498 eV per atom. The volume is 105 Å³/cell. The value obtained for the total moment is 0.51 μB per cell. As for the calculated total energy: -0.2696 Ry/atom.

```
data_Si2AgIrAu
_chemical_formula_sum 'Si2 Ag1 Ir1 Au1'
_cell_length_a 4.5776
_cell_length_b 4.5776
_cell_length_c 5.0123
_cell_angle_alpha 90.00
_cell_angle_beta 90.00
_cell_angle_gamma 90.00
_space_group_name_H-M_alt 'P 4/m m m'
_space_group_IT_number 123
_space_group_name_Hall '-P 4 2'
loop_
_atom_site_label
_atom_site_type_symbol
_atom_site_fract_x
_atom_site_fract_y
_atom_site_fract_z
_atom_site_occupancy
Si1 Si 0.0000 0.5000 0.0000 1
Ag1 Ag 0.0000 0.0000 0.0000 1
Ir1 Ir 0.5000 0.5000 0.5000 1
Au1 Au 0.0000 0.0000 0.5000 1
```

---

# 3
A geometry-optimized Th2AgIrAu structure. Source: Alexandria, functional GGA-PBE.

Results
The volume is 244 Å³/cell. The value obtained for the total moment is 0.00 μB per cell. As for the calculated total energy: -0.4842 Ry/atom. The value obtained for the formation energy is -621 meV/atom.

```
data_Th2AgIrAu
_chemical_formula_sum 'Th4 Ag2 Ir2 Au2'
_cell_length_a 7.8326
_cell_length_b 4.1222
_cell_length_c 8.0811
_cell_angle_alpha 90.00
_cell_angle_beta 110.96
_cell_angle_gamma 90.00
_space_group_name_H-M_alt 'P 1 21/m 1'
_space_group_IT_number 11
_space_group_name_Hall '-P 2yb'
loop_
_atom_site_label
_atom_site_type_symbol
_atom_site_fract_x
_atom_site_fract_y
_atom_site_fract_z
_atom_site_occupancy
Th1 Th 0.0174 0.2500 0.2152 1
Th2 Th 0.3672 0.7500 0.6256 1
Ag1 Ag 0.3550 0.2500 0.9628 1
Ir1 Ir 0.1134 0.2500 0.6121 1
Au1 Au 0.3110 0.7500 0.2074 1
```

---

# 4
A geometry-optimized K3Ag2Au7 structure. Source: Alexandria, functional GGA-PBE.

Results
The volume is 822 Å³/cell. The value obtained for the total moment is 0.00 μB per cell. As for the calculated total energy: -0.2133 Ry/atom. The value obtained for the formation energy is -240 meV/atom.

```
data_K3Ag2Au7
_chemical_formula_sum 'K9 Ag6 Au21'
_cell_length_a 5.7501
_cell_length_b 5.7501
_cell_length_c 28.7067
_cell_angle_alpha 90.00
_cell_angle_beta 90.00
_cell_angle_gamma 120.00
_space_group_name_H-M_alt 'R -3 m'
_space_group_IT_number 166
_space_group_name_Hall '-R 3 2"'
loop_
_atom_site_label
_atom_site_type_symbol
_atom_site_fract_x
_atom_site_fract_y
_atom_site_fract_z
_atom_site_occupancy
K1 K 0.0000 0.0000 0.0000 1
K2 K 0.0000 0.0000 0.1429 1
Ag1 Ag 0.0000 0.0000 0.3324 1
Au1 Au 0.0000 0.0000 0.5000 1
Au2 Au 0.0001 0.5001 0.0815 1
```

---

# 5
A geometry-optimized K2Ag6Au9 structure. Source: Alexandria, functional GGA-PBE.

Results
The volume is 390 Å³/cell. The value obtained for the total moment is 0.00 μB per cell. As for the calculated total energy: -0.2167 Ry/atom. The value obtained for the formation energy is -77 meV/atom.

```
data_K2Ag6Au9
_chemical_formula_sum 'K2 Ag6 Au9'
_cell_length_a 5.6826
_cell_length_b 5.6826
_cell_length_c 13.9618
_cell_angle_alpha 90.00
_cell_angle_beta 90.00
_cell_angle_gamma 120.00
_space_group_name_H-M_alt 'P 6/m m m'
_space_group_IT_number 191
_space_group_name_Hall '-P 6 2'
loop_
_atom_site_label
_atom_site_type_symbol
_atom_site_fract_x
_atom_site_fract_y
_atom_site_fract_z
_atom_site_occupancy
K1 K 0.0000 0.0000 0.1751 1
Ag1 Ag 0.3333 0.6667 0.1670 1
Ag2 Ag 0.3333 0.6667 0.5000 1
Au1 Au 0.0000 0.5000 0.0000 1
Au2 Au 0.0000 0.5000 0.3342 1
```

---

# 6
A geometry-optimized KAg2Au3 structure. Source: Alexandria, functional GGA-PBE.

Results
The volume is 588 Å³/cell. The value obtained for the total moment is 0.00 μB per cell. As for the calculated total energy: -0.2118 Ry/atom. The value obtained for the formation energy is -110 meV/atom.

```
data_KAg2Au3
_chemical_formula_sum 'K4 Ag8 Au12'
_cell_length_a 11.1433
_cell_length_b 9.4185
_cell_length_c 5.6029
_cell_angle_alpha 90.00
_cell_angle_beta 90.00
_cell_angle_gamma 90.00
_space_group_name_H-M_alt 'C m c m'
_space_group_IT_number 63
_space_group_name_Hall '-C 2c 2'
loop_
_atom_site_label
_atom_site_type_symbol
_atom_site_fract_x
_atom_site_fract_y
_atom_site_fract_z
_atom_site_occupancy
K1 K 0.0000 0.1891 0.2500 1
Ag1 Ag 0.2137 0.5000 0.0000 1
Au1 Au 0.0000 0.4205 0.7500 1
Au2 Au 0.2028 0.2375 0.7500 1
```